1.
First-principles (GGA-PBE) data for an optimized crystal structure of BeW2Br, as listed in Alexandria.

Unit cell a=4.525 b=4.525 c=2.870 alpha=90.00 beta=90.00 gamma=90.00
Atoms (fractional coordinates):
Be (0.000, 0.000, 0.000)
W (0.000, 0.500, 0.500)
W (0.500, 0.000, 0.500)
Br (0.500, 0.500, 0.000)

Calculated values
E_tot ... -6.63 eV per atom
E_form (uncorrected) ... 1.200 eV/atom
Excess energy over the best structure of this formula in the dataset ... 0.754 eV/atom
Space group ... No. 123

***

2.
First-principles (GGA-PBE) data for an optimized crystal structure of BeWBr2, as listed in Alexandria.

Unit cell a=6.072 b=7.399 c=3.074 alpha=90.00 beta=90.00 gamma=90.00
Atoms (fractional coordinates):
Be (0.000, 0.000, 0.000)
Be (0.500, 0.500, 0.000)
W (0.000, 0.500, 0.000)
W (0.500, 0.000, 0.000)
Br (0.250, 0.250, 0.500)
Br (0.250, 0.750, 0.500)
Br (0.750, 0.250, 0.500)
Br (0.750, 0.750, 0.500)

Calculated values
E_tot ... -3.68 eV per atom
E_form (uncorrected) ... 1.328 eV/atom
Excess energy over the best structure of this formula in the dataset ... 1.181 eV/atom
Space group ... No. 65

***

3.
First-principles (GGA-PBE) data for an optimized crystal structure of BeWBr2, as listed in Alexandria.

Unit cell a=3.121 b=5.887 c=9.761 alpha=90.00 beta=90.00 gamma=90.00
Atoms (fractional coordinates):
Be (0.000, 0.000, 0.000)
Be (0.500, 0.500, 0.000)
W (0.000, 0.500, 0.792)
W (0.500, 0.000, 0.792)
Br (0.000, 0.000, 0.585)
Br (0.000, 0.500, 0.154)
Br (0.500, 0.000, 0.154)
Br (0.500, 0.500, 0.585)

Calculated values
E_tot ... -4.59 eV per atom
E_form (uncorrected) ... 0.419 eV/atom
Excess energy over the best structure of this formula in the dataset ... 0.273 eV/atom
Space group ... No. 35

***

4.
First-principles (GGA-PBE) data for an optimized crystal structure of BeWBr3, as listed in Alexandria.

Unit cell a=4.838 b=4.838 c=4.838 alpha=90.00 beta=90.00 gamma=90.00
Atoms (fractional coordinates):
Be (0.000, 0.000, 0.000)
W (0.500, 0.500, 0.500)
Br (0.000, 0.000, 0.500)
Br (0.000, 0.500, 0.000)
Br (0.500, 0.000, 0.000)

Calculated values
E_tot ... -3.46 eV per atom
E_form (uncorrected) ... 0.883 eV/atom
Excess energy over the best structure of this formula in the dataset ... 0.078 eV/atom
Space group ... No. 221

***

5.
First-principles (GGA-PBE) data for an optimized crystal structure of BeWBr2, as listed in Alexandria.

Unit cell a=3.052 b=4.751 c=12.482 alpha=90.00 beta=90.00 gamma=90.00
Atoms (fractional coordinates):
Be (0.000, 0.000, 0.000)
Be (0.500, 0.500, 0.500)
W (0.000, 0.500, 0.351)
W (0.500, 0.000, 0.851)
Br (0.000, 0.000, 0.683)
Br (0.000, 0.500, 0.884)
Br (0.500, 0.000, 0.384)
Br (0.500, 0.500, 0.183)

Calculated values
E_tot ... -4.22 eV per atom
E_form (uncorrected) ... 0.787 eV/atom
Excess energy over the best structure of this formula in the dataset ... 0.641 eV/atom
Space group ... No. 44

***

6.
First-principles (GGA-PBE) data for an optimized crystal structure of BeWBr2, as listed in Alexandria.

Unit cell a=3.318 b=3.258 c=8.344 alpha=90.00 beta=100.45 gamma=90.00
Atoms (fractional coordinates):
Be (0.000, 0.000, 0.000)
W (0.545, 0.500, 0.098)
Br (0.405, 0.500, 0.790)
Br (0.654, 0.000, 0.337)

Calculated values
E_tot ... -4.86 eV per atom
E_form (uncorrected) ... 0.147 eV/atom
Excess energy over the best structure of this formula in the dataset ... 0.000 eV/atom
Space group ... No. 6

***

7.
First-principles (GGA-PBE) data for an optimized crystal structure of BeW2Br, as listed in Alexandria.

Unit cell a=3.190 b=3.190 c=6.236 alpha=90.00 beta=90.00 gamma=90.00
Atoms (fractional coordinates):
Be (0.000, 0.000, 0.000)
W (0.000, 0.000, 0.612)
W (0.500, 0.500, 0.857)
Br (0.500, 0.500, 0.303)

Calculated values
E_tot ... -7.28 eV per atom
E_form (uncorrected) ... 0.546 eV/atom
Excess energy over the best structure of this formula in the dataset ... 0.100 eV/atom
Space group ... No. 99

***

8.
First-principles (GGA-PBE) data for an optimized crystal structure of BeW2Br, as listed in Alexandria.

Unit cell a=3.797 b=3.797 c=8.847 alpha=90.00 beta=90.00 gamma=90.00
Atoms (fractional coordinates):
Be (0.000, 0.000, 0.000)
Be (0.500, 0.500, 0.500)
W (0.000, 0.500, 0.250)
W (0.000, 0.500, 0.750)
W (0.500, 0.000, 0.250)
W (0.500, 0.000, 0.750)
Br (0.000, 0.000, 0.500)
Br (0.500, 0.500, 0.000)

Calculated values
E_tot ... -6.45 eV per atom
E_form (uncorrected) ... 1.379 eV/atom
Excess energy over the best structure of this formula in the dataset ... 0.933 eV/atom
Space group ... No. 139

***

9.
First-principles (GGA-PBE) data for an optimized crystal structure of BeW2Br, as listed in Alexandria.

Unit cell a=5.338 b=8.297 c=2.830 alpha=90.00 beta=90.00 gamma=90.00
Atoms (fractional coordinates):
Be (0.000, 0.000, 0.000)
Be (0.500, 0.500, 0.000)
W (0.250, 0.250, 0.500)
W (0.250, 0.750, 0.500)
W (0.750, 0.250, 0.500)
W (0.750, 0.750, 0.500)
Br (0.000, 0.500, 0.000)
Br (0.500, 0.000, 0.000)

Calculated values
E_tot ... -6.51 eV per atom
E_form (uncorrected) ... 1.312 eV/atom
Excess energy over the best structure of this formula in the dataset ... 0.866 eV/atom
Space group ... No. 65

***

10.
First-principles (GGA-PBE) data for an optimized crystal structure of BeW2Br, as listed in Alexandria.

Unit cell a=2.946 b=4.562 c=4.737 alpha=90.00 beta=90.00 gamma=90.00
Atoms (fractional coordinates):
Be (0.000, 0.000, 0.000)
W (0.000, 0.500, 0.500)
W (0.500, 0.500, 0.000)
Br (0.500, 0.000, 0.500)

Calculated values
E_tot ... -6.72 eV per atom
E_form (uncorrected) ... 1.107 eV/atom
Excess energy over the best structure of this formula in the dataset ... 0.661 eV/atom
Space group ... No. 47

***

11.
First-principles (GGA-PBE) data for an optimized crystal structure of BeW2Br, as listed in Alexandria.

Unit cell a=2.914 b=2.914 c=25.078 alpha=90.00 beta=90.00 gamma=120.00
Atoms (fractional coordinates):
Be (0.000, 0.000, 0.000)
Be (0.333, 0.667, 0.667)
Be (0.667, 0.333, 0.333)
W (0.000, 0.000, 0.256)
W (0.000, 0.000, 0.744)
W (0.333, 0.667, 0.411)
W (0.333, 0.667, 0.922)
W (0.667, 0.333, 0.078)
W (0.667, 0.333, 0.589)
Br (0.000, 0.000, 0.500)
Br (0.333, 0.667, 0.167)
Br (0.667, 0.333, 0.833)

Calculated values
E_tot ... -6.91 eV per atom
E_form (uncorrected) ... 0.913 eV/atom
Excess energy over the best structure of this formula in the dataset ... 0.467 eV/atom
Space group ... No. 166

***

12.
First-principles (GGA-PBE) data for an optimized crystal structure of BeW2Br, as listed in Alexandria.

Unit cell a=3.225 b=4.970 c=8.866 alpha=90.00 beta=90.00 gamma=90.00
Atoms (fractional coordinates):
Be (0.000, 0.000, 0.000)
Be (0.500, 0.500, 0.000)
W (0.000, 0.000, 0.439)
W (0.000, 0.500, 0.215)
W (0.500, 0.000, 0.215)
W (0.500, 0.500, 0.439)
Br (0.000, 0.500, 0.831)
Br (0.500, 0.000, 0.831)

Calculated values
E_tot ... -7.21 eV per atom
E_form (uncorrected) ... 0.615 eV/atom
Excess energy over the best structure of this formula in the dataset ... 0.169 eV/atom
Space group ... No. 35

***

13.
First-principles (GGA-PBE) data for an optimized crystal structure of BeWBr2, as listed in Alexandria.

Unit cell a=3.733 b=3.733 c=11.458 alpha=90.00 beta=90.00 gamma=90.00
Atoms (fractional coordinates):
Be (0.000, 0.000, 0.000)
Be (0.500, 0.500, 0.500)
W (0.000, 0.500, 0.250)
W (0.500, 0.000, 0.750)
Br (0.000, 0.000, 0.500)
Br (0.000, 0.500, 0.750)
Br (0.500, 0.000, 0.250)
Br (0.500, 0.500, 0.000)

Calculated values
E_tot ... -3.60 eV per atom
E_form (uncorrected) ... 1.404 eV/atom
Excess energy over the best structure of this formula in the dataset ... 1.258 eV/atom
Space group ... No. 119

***

14.
First-principles (GGA-PBE) data for an optimized crystal structure of BeWBr2, as listed in Alexandria.

Unit cell a=3.227 b=3.227 c=8.088 alpha=90.00 beta=90.00 gamma=90.00
Atoms (fractional coordinates):
Be (0.000, 0.000, 0.000)
W (0.500, 0.500, 0.891)
Br (0.000, 0.000, 0.667)
Br (0.500, 0.500, 0.202)

Calculated values
E_tot ... -4.65 eV per atom
E_form (uncorrected) ... 0.361 eV/atom
Excess energy over the best structure of this formula in the dataset ... 0.215 eV/atom
Space group ... No. 99

***

15.
First-principles (GGA-PBE) data for an optimized crystal structure of BeWBr2, as listed in Alexandria.

Unit cell a=6.863 b=6.863 c=6.863 alpha=90.00 beta=90.00 gamma=90.00
Atoms (fractional coordinates):
Be (0.000, 0.000, 0.000)
Be (0.000, 0.500, 0.500)
Be (0.500, 0.000, 0.500)
Be (0.500, 0.500, 0.000)
W (0.250, 0.250, 0.250)
W (0.250, 0.750, 0.750)
W (0.750, 0.250, 0.750)
W (0.750, 0.750, 0.250)
Br (0.000, 0.000, 0.500)
Br (0.000, 0.500, 0.000)
Br (0.250, 0.250, 0.750)
Br (0.250, 0.750, 0.250)
Br (0.500, 0.000, 0.000)
Br (0.500, 0.500, 0.500)
Br (0.750, 0.250, 0.250)
Br (0.750, 0.750, 0.750)

Calculated values
E_tot ... -3.37 eV per atom
E_form (uncorrected) ... 1.636 eV/atom
Excess energy over the best structure of this formula in the dataset ... 1.490 eV/atom
Space group ... No. 216

***

16.
First-principles (GGA-PBE) data for an optimized crystal structure of BeWBr2, as listed in Alexandria.

Unit cell a=3.159 b=4.343 c=5.497 alpha=90.00 beta=95.90 gamma=90.00
Atoms (fractional coordinates):
Be (0.000, 0.000, 0.000)
W (0.000, 0.000, 0.500)
Br (0.211, 0.500, 0.749)
Br (0.789, 0.500, 0.251)

Calculated values
E_tot ... -4.07 eV per atom
E_form (uncorrected) ... 0.940 eV/atom
Excess energy over the best structure of this formula in the dataset ... 0.793 eV/atom
Space group ... No. 10

***

17.
First-principles (GGA-PBE) data for an optimized crystal structure of BeW3Br, as listed in Alexandria.

Unit cell a=4.348 b=4.348 c=4.348 alpha=90.00 beta=90.00 gamma=90.00
Atoms (fractional coordinates):
Be (0.000, 0.000, 0.000)
W (0.000, 0.000, 0.500)
W (0.000, 0.500, 0.000)
W (0.500, 0.000, 0.000)
Br (0.500, 0.500, 0.500)

Calculated values
E_tot ... -7.22 eV per atom
E_form (uncorrected) ... 1.631 eV/atom
Excess energy over the best structure of this formula in the dataset ... 0.000 eV/atom
Space group ... No. 221

***

18.
First-principles (GGA-PBE) data for an optimized crystal structure of BeW2Br, as listed in Alexandria.

Unit cell a=3.784 b=3.784 c=4.480 alpha=90.00 beta=90.00 gamma=90.00
Atoms (fractional coordinates):
Be (0.000, 0.000, 0.000)
W (0.000, 0.500, 0.500)
W (0.500, 0.000, 0.500)
Br (0.500, 0.500, 0.000)

Calculated values
E_tot ... -6.47 eV per atom
E_form (uncorrected) ... 1.359 eV/atom
Excess energy over the best structure of this formula in the dataset ... 0.914 eV/atom
Space group ... No. 123

***

19.
First-principles (GGA-PBE) data for an optimized crystal structure of BeW4Br, as listed in Alexandria.

Unit cell a=5.321 b=5.321 c=5.321 alpha=60.00 beta=60.00 gamma=60.00
Atoms (fractional coordinates):
Be (0.000, 0.000, 0.000)
W (0.375, 0.375, 0.375)
W (0.375, 0.375, 0.875)
W (0.375, 0.875, 0.375)
W (0.875, 0.375, 0.375)
Br (0.750, 0.750, 0.750)

Calculated values
E_tot ... -8.24 eV per atom
E_form (uncorrected) ... 1.290 eV/atom
Space group ... No. 216

***

20.
First-principles (GGA-PBE) data for an optimized crystal structure of BeWBr2, as listed in Alexandria.

Unit cell a=3.192 b=3.192 c=27.464 alpha=90.00 beta=90.00 gamma=120.00
Atoms (fractional coordinates):
Be (0.000, 0.000, 0.000)
Be (0.333, 0.667, 0.667)
Be (0.667, 0.333, 0.333)
W (0.000, 0.000, 0.741)
W (0.333, 0.667, 0.408)
W (0.667, 0.333, 0.075)
Br (0.000, 0.000, 0.282)
Br (0.000, 0.000, 0.474)
Br (0.333, 0.667, 0.141)
Br (0.333, 0.667, 0.949)
Br (0.667, 0.333, 0.615)
Br (0.667, 0.333, 0.807)

Calculated values
E_tot ... -4.75 eV per atom
E_form (uncorrected) ... 0.260 eV/atom
Excess energy over the best structure of this formula in the dataset ... 0.114 eV/atom
Space group ... No. 160